A plane-wave DFT calculation with PBE+U was carried out for a relaxed TmCo4Cu3O12 crystal.

Results
magnetization	8.01	μB/f.u.
electronic total energy	-118.65	eV/cell
Fermi-level density of states	0.146	states/eV per atom

Cell lengths 6.2861, 6.2861, 6.2861 Å; angles 109.47, 109.47, 109.47 degrees
With the nearest neighbours (Å) after each atom.
Fractional positions:
Tm 0.0000 0.0000 0.0000  12 O 2.53
Co 0.0000 0.0000 0.5000  6 O 1.94
Co 0.0000 0.5000 0.0000  6 O 1.94
Co 0.5000 0.0000 0.0000  6 O 1.94
Co 0.5000 0.5000 0.5000  6 O 1.94
Cu 0.0000 0.5000 0.5000  4 O 1.89
Cu 0.5000 0.0000 0.5000  4 O 1.89
Cu 0.5000 0.5000 0.0000  4 O 1.89
O 0.1335 0.8298 0.3036  1 Cu 1.89, 2 Co 1.94
O 0.1702 0.3036 0.4738  1 Cu 1.89, 2 Co 1.94
O 0.1702 0.6964 0.8665  1 Cu 1.89, 2 Co 1.94
O 0.3036 0.1335 0.8298  1 Cu 1.89, 2 Co 1.94
O 0.3036 0.4738 0.1702  1 Cu 1.89, 2 Co 1.94
O 0.4738 0.1702 0.3036  1 Cu 1.89, 2 Co 1.94
O 0.5262 0.8298 0.6964  1 Cu 1.89, 2 Co 1.94
O 0.6964 0.5262 0.8298  1 Cu 1.89, 2 Co 1.94
O 0.6964 0.8665 0.1702  1 Cu 1.89, 2 Co 1.94
O 0.8298 0.3036 0.1335  1 Cu 1.89, 2 Co 1.94
O 0.8298 0.6964 0.5262  1 Cu 1.89, 2 Co 1.94
O 0.8665 0.1702 0.6964  1 Cu 1.89, 2 Co 1.94